## Pm12Er2Th (PBE-GGA)

Data for an optimized crystal structure of Pm12Er2Th.

POSCAR file:
```
Pm12Er2Th
1.0
-2.396 -6.361 0.238
-0.034 -3.037 6.086
-22.975 8.814 4.270
Pm Th Er
24 2 4
direct
0.248 0.748 0.075
0.749 0.751 0.127
0.752 0.252 0.075
0.000 0.000 0.200
0.726 0.226 0.440
0.774 0.274 0.560
0.232 0.268 0.413
0.751 0.749 0.873
0.500 0.500 0.200
0.732 0.768 0.587
0.000 0.000 0.675
0.500 0.500 0.325
0.000 0.000 0.800
0.000 0.000 0.325
0.768 0.732 0.413
0.500 0.500 0.800
0.500 0.500 0.675
0.249 0.251 0.873
0.252 0.752 0.925
0.748 0.248 0.925
0.268 0.232 0.587
0.274 0.774 0.440
0.226 0.726 0.560
0.251 0.249 0.127
0.500 0.000 0.001
0.000 0.500 0.999
0.000 0.500 0.266
0.000 0.500 0.730
0.500 0.000 0.270
0.500 0.000 0.734
```

PBE-GGA Pm3Er2Th, optimized geometry; energy above the lowest structure with this stoichiometry = 0 meV per atom
1.0
11.610 0.000 0.000
0.000 6.251 -0.286
0.000 -2.872 5.560
Er Pm Th
4 6 2
direct
0.720 0.498 0.166
0.720 0.166 0.498
0.220 0.502 0.834
0.220 0.834 0.502
0.470 0.836 0.163
0.470 0.499 0.499
0.970 0.164 0.837
0.470 0.163 0.836
0.970 0.501 0.501
0.970 0.837 0.164
0.220 0.167 0.167
0.720 0.833 0.833

PBE-GGA Pm2Er5Th4, optimized geometry; energy above the lowest structure with this stoichiometry = 158 meV per atom
1.0
6.671 0.000 0.000
3.335 7.903 2.741
3.335 4.724 8.493
Th Pm Er
4 2 5
direct
0.248 0.344 0.159
0.409 0.774 0.408
0.752 0.656 0.841
0.591 0.226 0.592
0.804 0.067 0.325
0.196 0.933 0.675
0.175 0.268 0.903
0.346 0.732 0.097
0.825 0.732 0.097
0.000 0.500 0.500
0.654 0.268 0.903

PBE-GGA Pm2Er3Th, optimized geometry; energy above the lowest structure with this stoichiometry = 274 meV per atom
1.0
3.377 0.000 0.000
0.000 6.586 0.000
-1.689 -3.293 9.005
Pm Th Er
2 1 3
direct
0.682 0.182 0.363
0.318 0.818 0.637
0.000 0.500 0.000
0.652 0.652 0.305
0.348 0.348 0.695
0.000 0.000 0.000

Across the entries above, energy takes the values -4.73; -5.10; -5.45; -4.69 eV/atom, respectively.